A plane-wave DFT calculation with PBE was carried out for a geometry-optimized KMoBr2 structure.

Properties
The calculation puts the energy relative to the elements, uncorrected at -205 meV/atom. The energy above the most stable polymorph in this dataset comes out at 0.00 eV per formula unit. For the energy, the calculation gives -4.02 eV per atom.

The structure in CIF format:
```
data_KMoBr2
_chemical_formula_sum 'K1 Mo1 Br2'
_space_group_name_H-M_alt 'P 1 m 1'
_space_group_IT_number 6
_space_group_name_Hall 'P -2y'
_cell_length_a 4.083
_cell_length_b 5.534
_cell_length_c 5.537
_cell_angle_alpha 90.00
_cell_angle_beta 90.07
_cell_angle_gamma 90.00
loop_
_atom_site_label
_atom_site_fract_x
_atom_site_fract_y
_atom_site_fract_z
K1 0.000 0.000 0.000
Mo1 0.500 0.500 0.499
Br1 0.498 0.500 0.999
Br2 0.502 0.000 0.499
```